Run A
Here is DyYHo3 after structural relaxation from Alexandria. Energies are from PBE-GGA.

The space group is Cmcm (No. 63) and the conventional cell measures 3.5989, 16.6264 and 11.4780 Å, with angles of 90.00, 90.00 and 90.00 degrees. The asymmetric unit holds Dy at (0.0000, 0.1818, 0.2500), Y at (0.0000, 0.4910, 0.7500), Ho at (0.0000, 0.1596, 0.7500) and Ho at (0.0000, 0.3460, 0.9999).

Its calculated volume is 686.8 Å³/cell. As for the crystal system: orthorhombic.

***

Run B
Here is DyYHo3 after structural relaxation from Alexandria. Energies are from PBE-GGA.

The space group is P-1 (No. 2) and the conventional cell measures 6.2582, 6.6813 and 9.1619 Å, with angles of 72.33, 89.99 and 62.13 degrees. The asymmetric unit holds Dy at (0.0340, 0.1013, 0.1493), Y at (0.3654, 0.1006, 0.6504), Ho at (0.1678, 0.5007, 0.2491), Ho at (0.2324, 0.7004, 0.5497) and Ho at (0.4338, 0.3009, 0.9495).

Its calculated volume is 318.1 Å³/cell. As for the crystal system: triclinic.

***

Which structure is the least stable? The one labeled run A.

***

Run A
Here is DyY2Ho after structural relaxation from Alexandria. Energies are from PBE-GGA.

The space group is Fm-3m (No. 225) and the conventional cell measures 8.0247, 8.0247 and 8.0247 Å, with angles of 90.00, 90.00 and 90.00 degrees. The asymmetric unit holds Dy at (0.0000, 0.0000, 0.0000), Y at (0.2500, 0.2500, 0.2500) and Ho at (0.0000, 0.0000, 0.5000).

Its calculated volume is 516.7 Å³/cell. As for the crystal system: cubic.

***

Run B
Here is DyY2Ho after structural relaxation from Alexandria. Energies are from PBE-GGA.

The space group is P4/mmm (No. 123) and the conventional cell measures 3.5525, 3.5525 and 10.0524 Å, with angles of 90.00, 90.00 and 90.00 degrees. The asymmetric unit holds Dy at (0.0000, 0.0000, 0.0000), Y at (0.5000, 0.5000, 0.2505) and Ho at (0.0000, 0.0000, 0.5000).

Its calculated volume is 126.9 Å³/cell. As for the crystal system: tetragonal.

***

Which structure is the least stable? The one labeled run A.

***

Run A
Here is DyY2Ho after structural relaxation from Alexandria. Energies are from PBE-GGA.

The space group is R-3m (No. 166, hexagonal axes) and the conventional cell measures 3.5536, 3.5536 and 34.7475 Å, with angles of 90.00, 90.00 and 120.00 degrees. The asymmetric unit holds Dy at (0.0000, 0.0000, 0.0000), Y at (0.0000, 0.0000, 0.2498) and Ho at (0.0000, 0.0000, 0.5000).

Its calculated volume is 380.0 Å³/cell. As for the crystal system: trigonal.

***

Run B
Here is DyY2Ho after structural relaxation from Alexandria. Energies are from PBE-GGA.

The space group is R3m (No. 160, hexagonal axes) and the conventional cell measures 3.5827, 3.5827 and 34.3370 Å, with angles of 90.00, 90.00 and 120.00 degrees. The asymmetric unit holds Dy at (0.0000, 0.0000, 0.0000), Y at (0.0000, 0.0000, 0.4174), Y at (0.0000, 0.0000, 0.5830) and Ho at (0.0000, 0.0000, 0.8340).

Its calculated volume is 381.7 Å³/cell. As for the crystal system: trigonal.

***

Run C
Here is DyY2Ho after structural relaxation from Alexandria. Energies are from PBE-GGA.

The space group is Pm (No. 6) and the conventional cell measures 3.6325, 5.6399 and 6.2801 Å, with angles of 90.00, 90.04 and 90.00 degrees. The asymmetric unit holds Dy at (0.0000, 0.0000, 0.0000), Y at (0.4984, 0.5000, 0.1663), Y at (0.4998, 0.0000, 0.5018) and Ho at (0.9982, 0.5000, 0.6684).

Its calculated volume is 128.7 Å³/cell. As for the crystal system: monoclinic.

***

Which structure is the least stable? The one labeled run A.